1.
Here is a geometry-optimized HfTc3S structure from Alexandria. Energies are from PBE.

## Properties
The value obtained for the size of the total moment is 0.0 Bohr magnetons per cell. The value obtained for the density of states at the Fermi level is 3.0 states/eV/f.u. Its symmetry is Pm-3m.

Cell lengths 4.361, 4.361, 4.361 Å; angles 90.00, 90.00, 90.00 degrees
Positions (direct):
1 S 0.000 0.000 0.000
2 Hf 0.500 0.500 0.500
3 Tc 0.000 0.500 0.000
4 Tc 0.000 0.000 0.500
5 Tc 0.500 0.000 0.000

2.
Here is a geometry-optimized HfTc3S structure from Alexandria. Energies are from PBE.

## Properties
The value obtained for the size of the total moment is 4.6 Bohr magnetons per cell. The value obtained for the density of states at the Fermi level is 6.4 states/eV/f.u. Its symmetry is Pm-3m.

Cell lengths 4.815, 4.815, 4.815 Å; angles 90.00, 90.00, 90.00 degrees
Each line ends with the local moment (μB).
Positions (direct):
1 S 0.500 0.500 0.500  0.03
2 Hf 0.000 0.000 0.000  -0.13
3 Tc 0.000 0.500 0.000  1.37
4 Tc 0.000 0.000 0.500  1.26
5 Tc 0.500 0.000 0.000  1.67

The structures above, arranged from the most stable to the least stable: 1, 2.